10
Lattice="0.000 5.664 5.664 5.664 0.000 5.664 5.664 5.664 0.000" Properties=species:S:1:pos:R:3 comment="PBE Tl2SnHgBr6, optimized geometry" sg="Fm-3m (225)" final_energy_ev_per_atom=-2.544 vol_a3_per_atom=36.3 rho_g_cm3=5.5 pbc="T T T"
Tl 2.832 2.832 2.832
Tl 8.495 8.495 8.495
Sn 0.000 0.000 0.000
Hg 5.664 5.664 5.664
Br 5.664 5.664 2.851
Br 5.664 2.851 5.664
Br 8.476 5.664 5.664
Br 2.851 5.664 5.664
Br 5.664 8.476 5.664
Br 5.664 5.664 8.476